Entry 1:
Material: K2PdI2Br2
Method: DFT, PBE
State: relaxed

```
7
Lattice="4.547 0.000 0.000 0.000 7.763 0.000 0.000 0.000 7.762" Properties=species:S:1:pos:R:3 pbc="T T T"
Br 0.000 1.785 5.959
Br 0.000 5.978 5.959
I 0.000 1.841 1.826
I 0.000 5.922 1.826
K 2.273 0.000 4.112
K 2.273 3.882 7.512
Pd 0.000 0.000 7.735
```

Results
**Uncorrected energy**: -3.024 eV/atom
**Crystal system**: orthorhombic


Entry 2:
Material: LaNdI2BrN
Method: DFT, PBE
State: relaxed

```
12
Lattice="-8.063 -3.908 -3.558 -5.671 -7.241 -2.890 0.892 2.982 11.685" Properties=species:S:1:pos:R:3 pbc="T T T"
Br -10.516 -7.660 -0.565
Br -2.326 -0.507 5.802
I -9.074 -7.324 -4.048
I -0.507 0.134 2.485
I -12.335 -8.301 2.752
I -3.768 -0.844 9.286
La -11.765 -9.049 -3.020
La -1.077 0.881 8.258
N -5.606 -3.759 1.321
N -7.236 -4.409 3.916
Nd -7.522 -5.065 1.665
Nd -5.320 -3.103 3.572
```

Results
**Uncorrected energy**: -5.442 eV/atom
**Spin magnetization**: 0.006 μB/cell
**ΔE to the lowest computed polymorph**: 0.000 eV/atom
**Crystal system**: monoclinic


Entry 3:
Material: LaNdI2BrN
Method: DFT, PBE
State: relaxed

```
12
Lattice="-9.547 0.061 1.235 -8.145 -0.294 5.122 6.290 10.260 -1.331" Properties=species:S:1:pos:R:3 pbc="T T T"
Br -11.514 3.703 4.489
Br 0.111 6.325 0.537
I -11.644 0.015 4.199
I 0.633 2.369 -0.012
I -12.035 7.659 5.038
I 0.242 10.013 0.827
La -7.349 4.592 3.069
La -4.053 5.436 1.957
N -5.405 3.509 2.269
N -5.997 6.518 2.757
Nd -13.994 2.081 5.235
Nd 2.591 7.946 -0.209
```

Results
**Uncorrected energy**: -5.420 eV/atom
**Spin magnetization**: 0.006 μB/cell
**ΔE to the lowest computed polymorph**: 0.022 eV/atom
**Crystal system**: monoclinic


Entry 4:
Material: LaNdI2BrN
Method: DFT, PBE
State: relaxed

```
12
Lattice="-4.821 2.824 8.238 -2.743 -0.491 9.555 10.488 5.006 -3.942" Properties=species:S:1:pos:R:3 pbc="T T T"
Br 2.733 3.249 3.865
Br 0.191 4.089 9.986
I -0.322 1.217 3.570
I -4.413 3.633 16.095
I 7.337 3.706 -2.244
I 3.246 6.122 10.281
La -2.791 1.195 7.405
La 5.715 6.144 6.446
N -2.754 2.090 9.598
N 5.678 5.249 4.253
Nd 1.965 1.748 1.299
Nd 0.959 5.591 12.553
```

Results
**Uncorrected energy**: -5.407 eV/atom
**Spin magnetization**: 0.003 μB/cell
**ΔE to the lowest computed polymorph**: 0.035 eV/atom
**Crystal system**: monoclinic


Entry 5:
Material: LaNdIBr2N
Method: DFT, PBE
State: relaxed

```
12
Lattice="9.080 -2.069 0.000 9.080 2.069 0.000 -6.225 0.000 10.131" Properties=species:S:1:pos:R:3 pbc="T T T"
Br 3.272 0.000 1.195
Br 15.815 0.000 2.576
Br -3.880 0.000 7.556
Br 8.663 0.000 8.937
I 3.176 0.000 4.919
I 8.759 0.000 5.212
La 7.341 0.000 0.445
La 4.594 0.000 9.686
N 9.463 0.000 1.489
N 2.472 0.000 8.642
Nd 0.675 0.000 2.805
Nd 11.260 0.000 7.326
```

Results
**Uncorrected energy**: -5.559 eV/atom
**Spin magnetization**: 0.006 μB/cell
**ΔE to the lowest computed polymorph**: 0.021 eV/atom
**Crystal system**: monoclinic


Entry 6:
Material: LaNdIBr2N
Method: DFT, PBE
State: relaxed

```
12
Lattice="-3.927 8.727 0.219 -7.077 6.372 -0.967 1.345 -6.692 9.717" Properties=species:S:1:pos:R:3 pbc="T T T"
Br -7.368 10.060 -0.403
Br -8.094 9.300 3.035
Br -1.565 -0.894 5.935
Br -2.291 -1.654 9.373
I -0.165 -0.850 2.127
I -9.495 9.257 6.843
La -5.757 5.671 4.035
La -3.902 2.735 4.935
N -4.244 4.138 3.060
N -5.415 4.269 5.909
Nd -9.232 11.635 1.423
Nd -0.427 -3.229 7.547
```

Results
**Uncorrected energy**: -5.549 eV/atom
**Spin magnetization**: 0.003 μB/cell
**ΔE to the lowest computed polymorph**: 0.031 eV/atom
**Crystal system**: monoclinic


Entry 7:
Material: LaNdI2BrN
Method: DFT, PBE
State: relaxed

```
12
Lattice="9.816 -2.070 0.000 9.816 2.070 0.000 -7.117 0.000 10.087" Properties=species:S:1:pos:R:3 pbc="T T T"
Br 13.138 0.000 0.042
Br -0.623 0.000 10.045
I -0.899 0.000 2.380
I 12.562 0.000 3.770
I -0.046 0.000 6.317
I 13.415 0.000 7.707
La 15.443 0.000 2.166
La -2.928 0.000 7.921
N 5.906 0.000 3.516
N 6.609 0.000 6.572
Nd 7.972 0.000 4.646
Nd 4.543 0.000 5.441
```

Results
**Uncorrected energy**: -5.430 eV/atom
**Spin magnetization**: 0.005 μB/cell
**ΔE to the lowest computed polymorph**: 0.012 eV/atom
**Crystal system**: monoclinic


Entry 8:
Material: LaNdIBr2N
Method: DFT, PBE
State: relaxed

```
12
Lattice="-2.433 -0.953 9.222 1.610 -1.734 9.289 2.131 10.608 -4.976" Properties=species:S:1:pos:R:3 pbc="T T T"
Br 0.076 0.680 3.363
Br 0.768 4.289 3.701
Br 0.540 3.632 9.835
Br 1.231 7.241 10.172
I -0.214 0.278 16.280
I 1.521 7.643 -2.744
La 0.501 2.685 1.052
La 0.806 5.236 12.483
N -0.144 0.089 9.818
N 1.452 7.832 3.717
Nd -0.264 -0.718 7.622
Nd 1.571 8.639 5.914
```

Results
**Uncorrected energy**: -5.571 eV/atom
**Spin magnetization**: 0.004 μB/cell
**ΔE to the lowest computed polymorph**: 0.009 eV/atom
**Crystal system**: monoclinic


Entry 9:
Material: LaNdIBr2N
Method: DFT, PBE
State: relaxed

```
12
Lattice="9.178 -2.069 0.000 9.178 2.069 0.000 -6.274 0.000 10.214" Properties=species:S:1:pos:R:3 pbc="T T T"
Br 3.246 0.000 1.117
Br 15.972 0.000 2.478
Br -3.889 0.000 7.736
Br 8.837 0.000 9.097
I 3.268 0.000 4.942
I 8.815 0.000 5.273
La 0.671 0.000 2.832
La 11.412 0.000 7.382
N 9.558 0.000 1.518
N 2.525 0.000 8.696
Nd 7.470 0.000 0.429
Nd 4.612 0.000 9.785
```

Results
**Uncorrected energy**: -5.580 eV/atom
**Spin magnetization**: 0.007 μB/cell
**ΔE to the lowest computed polymorph**: 0.000 eV/atom
**Crystal system**: monoclinic


Entry 10:
Material: LaPuI2BrN
Method: DFT, PBE
State: relaxed

```
12
Lattice="-8.582 4.064 -1.736 -9.163 0.175 -3.029 2.974 -4.066 10.891" Properties=species:S:1:pos:R:3 pbc="T T T"
Br -3.356 0.423 0.237
Br -11.415 -0.250 5.890
I -16.071 2.975 -1.714
I -4.561 -0.528 3.640
I -10.209 0.701 2.487
I 1.300 -2.801 7.841
La -1.448 -0.578 2.392
La -13.322 0.752 3.735
N -9.600 1.828 -1.179
N -5.171 -1.655 7.306
Pu -7.426 1.650 -1.621
Pu -7.344 -1.477 7.748
```

Results
**Uncorrected energy**: -6.901 eV/atom
**Spin magnetization**: 9.992 μB/cell
**Crystal system**: monoclinic


Entry 11:
Material: LaPuIBr2N
Method: DFT, PBE
State: relaxed

```
12
Lattice="-4.745 -6.545 -4.993 -0.827 -7.690 -5.520 1.318 -0.930 11.839" Properties=species:S:1:pos:R:3 pbc="T T T"
Br -1.033 -3.111 -0.918
Br -5.007 -13.828 -7.182
Br 0.752 -1.337 8.508
Br -3.222 -12.054 2.244
I -1.265 -5.320 2.157
I -2.989 -9.846 -0.830
La -0.361 -2.100 1.879
La -3.893 -13.065 -0.553
N -2.971 -8.181 -4.319
N -1.283 -6.984 5.645
Pu -2.314 -6.083 -3.986
Pu -1.941 -9.082 5.312
```

Results
**Uncorrected energy**: -7.031 eV/atom
**Spin magnetization**: 9.994 μB/cell
**Crystal system**: monoclinic


Entry 12:
Material: LaSmIBr2N
Method: DFT, PBE
State: relaxed

```
12
Lattice="-3.329 -9.073 0.088 -0.556 -9.149 3.065 -5.510 9.151 5.364" Properties=species:S:1:pos:R:3 pbc="T T T"
Br -2.657 -12.174 2.164
Br -5.059 -10.869 4.434
Br -4.336 1.798 4.083
Br -6.738 3.104 6.353
I -1.372 1.316 1.311
I -8.023 -10.387 7.206
La -4.789 -6.326 4.298
La -4.606 -2.745 4.219
N -3.568 -4.617 3.204
N -5.827 -4.453 5.312
Sm -4.534 -13.806 3.870
Sm -4.861 4.735 4.647
```

Results
**Uncorrected energy**: -5.537 eV/atom
**Spin magnetization**: 0.006 μB/cell
**ΔE to the lowest computed polymorph**: 0.047 eV/atom
**Crystal system**: monoclinic


Entry 13:
Material: LaSmIBr2N
Method: DFT, PBE
State: relaxed

```
12
Lattice="0.950 9.171 -0.963 -2.859 8.494 -2.369 -3.052 -4.612 10.490" Properties=species:S:1:pos:R:3 pbc="T T T"
Br -0.892 -0.306 2.565
Br -2.701 12.073 1.508
Br -2.259 0.980 5.650
Br -4.069 13.359 4.594
I -1.304 11.489 -1.998
I -3.657 1.564 9.156
La -2.339 14.329 -0.558
La -2.621 -1.277 7.717
N -1.897 5.962 2.271
N -3.063 7.090 4.887
Sm -2.504 8.104 2.882
Sm -2.457 4.948 4.276
```

Results
**Uncorrected energy**: -5.584 eV/atom
**Spin magnetization**: 0.011 μB/cell
**ΔE to the lowest computed polymorph**: 0.000 eV/atom
**Crystal system**: monoclinic


Entry 14:
Material: LaSmIBr2N
Method: DFT, PBE
State: relaxed

```
12
Lattice="-1.470 4.799 8.230 -4.060 1.646 8.587 9.046 -7.599 -1.491" Properties=species:S:1:pos:R:3 pbc="T T T"
Br -0.112 0.473 3.366
Br 2.573 -1.566 4.837
Br 0.943 0.412 10.490
Br 3.628 -1.627 11.961
I -2.882 4.133 15.606
I 6.397 -5.287 -0.279
La 1.858 -1.321 1.814
La 1.657 0.167 13.513
N -1.782 2.523 9.369
N 5.297 -3.677 5.958
Sm -2.004 2.446 7.074
Sm 5.519 -3.600 8.253
```

Results
**Uncorrected energy**: -5.577 eV/atom
**Spin magnetization**: 0.008 μB/cell
**ΔE to the lowest computed polymorph**: 0.008 eV/atom
**Crystal system**: monoclinic


Entry 15:
Material: LaSmIBr2N
Method: DFT, PBE
State: relaxed

```
12
Lattice="-7.499 -5.072 1.916 -4.499 -7.854 1.928 5.554 6.028 8.517" Properties=species:S:1:pos:R:3 pbc="T T T"
Br 0.857 0.934 2.223
Br -7.223 -7.765 6.231
Br 0.779 0.867 6.129
Br -7.302 -7.832 10.138
I -7.831 -8.436 2.659
I 1.387 1.538 9.702
La -4.443 -4.766 6.112
La -2.001 -2.132 6.248
N -3.181 -3.411 4.640
N -3.264 -3.487 7.720
Sm -9.178 -9.878 5.240
Sm 2.734 2.980 7.120
```

Results
**Uncorrected energy**: -5.546 eV/atom
**Spin magnetization**: 0.009 μB/cell
**ΔE to the lowest computed polymorph**: 0.038 eV/atom
**Crystal system**: monoclinic


Entry 16:
Material: LaUI2BrN
Method: DFT, PBE
State: relaxed

```
12
Lattice="-1.497 -4.643 -8.311 -4.200 -6.449 -5.800 -5.064 10.661 2.217" Properties=species:S:1:pos:R:3 pbc="T T T"
Br -1.765 -1.113 -2.701
Br -8.996 0.682 -9.194
I -6.709 -7.767 -12.809
I -4.369 1.385 -3.706
I -6.393 -1.817 -8.189
I -4.052 7.335 0.914
La -2.128 1.525 -1.194
La -8.633 -1.956 -10.701
N -3.912 -4.778 -7.648
N -6.850 4.347 -4.247
U -2.627 -4.338 -5.949
U -8.134 3.907 -5.946
```

Results
**Uncorrected energy**: -6.288 eV/atom
**Spin magnetization**: 4.812 μB/cell
**Crystal system**: monoclinic


Entry 17:
Material: LaUIBr2N
Method: DFT, PBE
State: relaxed

```
12
Lattice="9.164 -2.052 0.000 9.164 2.052 0.000 -6.217 0.000 10.117" Properties=species:S:1:pos:R:3 pbc="T T T"
Br 3.238 0.000 1.116
Br 15.960 0.000 2.469
Br -3.850 0.000 7.648
Br 8.872 0.000 9.001
I 3.276 0.000 4.906
I 8.834 0.000 5.212
La 0.670 0.000 2.785
La 11.440 0.000 7.332
N 9.507 0.000 1.397
N 2.603 0.000 8.721
U 7.559 0.000 0.402
U 4.550 0.000 9.715
```

Results
**Uncorrected energy**: -6.412 eV/atom
**Spin magnetization**: 4.789 μB/cell
**Crystal system**: monoclinic


Entry 18:
Material: LuS2IBr
Method: DFT, PBE
State: relaxed

```
10
Lattice="-5.233 0.212 5.401 2.286 -0.644 7.164 1.489 7.316 2.873" Properties=species:S:1:pos:R:3 pbc="T T T"
Br 0.247 1.165 10.126
Br -1.705 5.720 5.311
I -1.545 1.715 6.775
I 0.087 5.169 8.663
Lu 0.182 -0.468 7.820
Lu -1.640 7.352 7.617
S -3.394 0.131 11.018
S -2.802 1.275 12.535
S 1.344 5.609 2.903
S 1.936 6.753 4.419
```

Results
**Uncorrected energy**: -4.345 eV/atom
**Spin magnetization**: 0.000 μB/cell
**Crystal system**: triclinic


Entry 19:
Material: MoIBr4
Method: DFT, PBE
State: relaxed

```
12
Lattice="6.552 0.000 0.000 -3.139 6.378 0.000 -0.233 -3.415 9.128" Properties=species:S:1:pos:R:3 pbc="T T T"
Br 2.378 5.039 0.435
Br 4.549 1.934 1.289
Br 1.952 -0.831 2.220
Br 1.064 2.520 3.008
Br 2.116 0.443 6.120
Br 4.367 -2.584 6.908
Br -1.369 1.030 7.838
Br 0.802 -2.075 8.693
I 5.336 -0.298 4.090
I -2.156 3.261 5.037
Mo -0.025 0.621 1.937
Mo 3.204 2.342 7.190
```

Results
**Uncorrected energy**: -3.550 eV/atom
**Spin magnetization**: 1.984 μB/cell
**ΔE to the lowest computed polymorph**: 0.000 eV/atom
**Crystal system**: triclinic


Entry 20:
Material: MoI2Br2
Method: DFT, PBE
State: relaxed

```
10
Lattice="6.729 -3.442 0.000 6.729 3.442 0.000 -6.116 0.000 7.203" Properties=species:S:1:pos:R:3 pbc="T T T"
Br 8.209 0.000 0.915
Br 1.761 0.000 1.086
Br 5.581 0.000 6.117
Br -0.867 0.000 6.288
I 5.300 -1.762 2.317
I 5.300 1.762 2.317
I 2.042 -1.762 4.886
I 2.042 1.762 4.886
Mo 6.729 -1.985 0.000
Mo 6.729 1.985 0.000
```

Results
**Uncorrected energy**: -3.770 eV/atom
**Spin magnetization**: 2.749 μB/cell
**Crystal system**: monoclinic


Entry 21:
Material: MoIBr4
Method: DFT, PBE
State: relaxed

```
12
Lattice="6.569 0.000 0.000 -3.150 6.386 0.000 -0.118 -3.387 9.160" Properties=species:S:1:pos:R:3 pbc="T T T"
Br 4.582 1.976 1.425
Br 1.964 -0.792 2.346
Br 1.090 2.575 3.130
Br 5.437 -0.287 4.006
Br -2.136 3.285 5.154
Br 2.211 0.423 6.030
Br 1.337 3.790 6.815
Br -1.281 1.022 7.735
I 2.299 4.963 0.443
I 1.002 -1.964 8.718
Mo 0.001 0.678 2.078
Mo 3.300 2.320 7.083
```

Results
**Uncorrected energy**: -3.539 eV/atom
**Spin magnetization**: 1.987 μB/cell
**ΔE to the lowest computed polymorph**: 0.011 eV/atom
**Crystal system**: triclinic